The following is a DFT calculation (PBE-GGA) of a relaxed structure of CeSmTc4.

Lattice parameters (Å, degrees): 5.446 5.446 5.446 60.00 60.00 60.00
Fractional coordinates of all 6 atoms:
Ce 0.000 0.000 0.000
Sm 0.250 0.250 0.250
Tc 0.125 0.625 0.625
Tc 0.625 0.125 0.625
Tc 0.625 0.625 0.125
Tc 0.625 0.625 0.625

Calculated values
Symmetry ... F-43m (216)
Volume ... 114 Å³/cell
ΔE_f ... -0.0126 eV/atom
Total moment ... 0.00 μB/atom

---

The following is a DFT calculation (PBE-GGA) of a relaxed structure of CeSm2Tc.

Lattice parameters (Å, degrees): 11.099 11.099 11.099 17.59 17.59 17.59
Fractional coordinates of all 4 atoms:
Ce 0.000 0.000 0.000
Sm 0.103 0.103 0.103
Sm 0.897 0.897 0.897
Tc 0.500 0.500 0.500

Calculated values
Symmetry ... R-3m (166)
Volume ... 109 Å³/cell
ΔE_f ... 0.3521 eV/atom
Energy above the most stable polymorph in this dataset ... 46.2 kJ per mole of atoms
Total moment ... 0.25 μB/atom

---

The following is a DFT calculation (PBE-GGA) of a relaxed structure of Ce4SmTc2.

Lattice parameters (Å, degrees): 7.522 6.359 8.253 90.00 114.51 90.00
Fractional coordinates of all 14 atoms:
Ce 0.097 0.250 0.454
Ce 0.186 0.750 0.234
Ce 0.293 0.020 0.925
Ce 0.293 0.480 0.925
Ce 0.707 0.520 0.075
Ce 0.707 0.980 0.075
Ce 0.814 0.250 0.766
Ce 0.903 0.750 0.546
Sm 0.494 0.250 0.352
Sm 0.506 0.750 0.648
Tc 0.057 0.250 0.157
Tc 0.481 0.250 0.725
Tc 0.519 0.750 0.275
Tc 0.943 0.750 0.843

Calculated values
Symmetry ... P2_1/m (11)
Volume ... 359 Å³/cell
ΔE_f ... -0.0452 eV/atom
Total moment ... 0.00 μB/atom

---

The following is a DFT calculation (PBE-GGA) of a relaxed structure of CeSm3Tc.

Lattice parameters (Å, degrees): 7.349 7.349 8.091 122.57 122.57 74.91
Fractional coordinates of all 10 atoms:
Ce 0.037 0.037 0.327
Ce 0.963 0.963 0.673
Sm 0.049 0.447 0.214
Sm 0.447 0.049 0.214
Sm 0.449 0.449 0.741
Sm 0.551 0.551 0.259
Sm 0.553 0.951 0.786
Sm 0.951 0.553 0.786
Tc 0.224 0.224 0.848
Tc 0.776 0.776 0.152

Calculated values
Symmetry ... C2/m (12)
Volume ... 310 Å³/cell
ΔE_f ... -0.0251 eV/atom
Total moment ... 0.01 μB/atom

---

The following is a DFT calculation (PBE-GGA) of a relaxed structure of CeSmTlTc.

Lattice parameters (Å, degrees): 3.434 3.434 8.550 90.00 90.00 90.00
Fractional coordinates of all 4 atoms:
Ce 0.000 0.000 0.000
Sm 0.000 0.000 0.403
Tl 0.500 0.500 0.700
Tc 0.500 0.500 0.186

Calculated values
Symmetry ... P4mm (99)
Volume ... 101 Å³/cell
ΔE_f ... -0.1586 eV/atom
Total moment ... 0.00 μB/atom

---

The following is a DFT calculation (PBE-GGA) of a relaxed structure of CeSmZnTc.

Lattice parameters (Å, degrees): 5.010 5.010 5.010 60.00 60.00 60.00
Fractional coordinates of all 4 atoms:
Ce 0.000 0.000 0.000
Sm 0.500 0.500 0.500
Zn 0.250 0.250 0.250
Tc 0.750 0.750 0.750

Calculated values
Symmetry ... F-43m (216)
Volume ... 89 Å³/cell
ΔE_f ... -0.0702 eV/atom
Total moment ... 0.00 μB/atom

---

What is the formula in the third record?
Ce4SmTc2

---

Among the records above, which one has the highest ΔE_f?
CeSm2Tc

---

What did the third record say?
The following is a DFT calculation (PBE-GGA) of a relaxed structure of Ce4SmTc2.

Lattice parameters (Å, degrees): 7.522 6.359 8.253 90.00 114.51 90.00
Fractional coordinates of all 14 atoms:
Ce 0.097 0.250 0.454
Ce 0.186 0.750 0.234
Ce 0.293 0.020 0.925
Ce 0.293 0.480 0.925
Ce 0.707 0.520 0.075
Ce 0.707 0.980 0.075
Ce 0.814 0.250 0.766
Ce 0.903 0.750 0.546
Sm 0.494 0.250 0.352
Sm 0.506 0.750 0.648
Tc 0.057 0.250 0.157
Tc 0.481 0.250 0.725
Tc 0.519 0.750 0.275
Tc 0.943 0.750 0.843

Calculated values
Symmetry ... P2_1/m (11)
Volume ... 359 Å³/cell
ΔE_f ... -0.0452 eV/atom
Total moment ... 0.00 μB/atom

---

Look up the ΔE_f of the second one.
0.3521 eV/atom